## ErCuPt (PBE)

Data for a relaxed structure of ErCuPt.

The density of states at the Fermi level comes out at 0.267 states/eV per atom. As for the mass density: 12.57 g/cm3. The formation energy comes out at -82.99 kJ/mol of atoms.

Cell: 4.012 4.010 6.992 Å, 90.01 90.01 90.02°
Element x y z (fractional)
Cu: 0.750 0.250 0.500
Pt: 0.750 0.750 0.750
Pt: 0.250 0.250 0.250
Er: 0.750 0.750 0.164
Er: 0.250 0.250 0.836
Cu: 0.250 0.750 0.500